1.
The following is a DFT calculation (PBE) of a relaxed PmDyTm4 crystal.

Lattice parameters (Å, degrees): 3.4355 5.5839 9.6678 90.00 90.00 90.00
With the nearest neighbours (Å) after each atom.
Fractional coordinates of all 6 atoms:
Pm 0.0000 0.0000 0.0000  2 Pm 3.44, 12 Tm 3.66-3.67
Dy 0.0000 0.5000 0.5000  2 Dy 3.44, 12 Tm 3.64
Tm 0.5000 0.0000 0.3352  5 Tm 3.19-3.44
Tm 0.5000 0.0000 0.6648  5 Tm 3.19-3.44
Tm 0.5000 0.5000 0.1686  5 Tm 3.22-3.44
Tm 0.5000 0.5000 0.8314  5 Tm 3.22-3.44

Values from the calculation:
- E_form (eV/f.u.) = 0.48
- distance to the lowest polymorph of the same formula (kJ/mol of formula units) = 0
- Fermi-level density of states (states/eV/f.u.) = 10.07
- magnetic moment (μB per cell) = 0.00

=====

2.
The following is a DFT calculation (PBE) of a relaxed Pu4PO5 crystal.

Lattice parameters (Å, degrees): 7.2131 8.8771 5.5773 90.00 90.00 90.00
With the nearest neighbours (Å) after each atom.
Fractional coordinates of all 20 atoms:
Pu 0.0070 0.2500 0.0167  3 O 2.19-2.30
Pu 0.2500 0.0261 0.5190  5 O 2.28-2.37
Pu 0.2500 0.4739 0.5190  5 O 2.28-2.37
Pu 0.4930 0.2500 0.0167  3 O 2.19-2.30
Pu 0.5070 0.7500 0.9833  3 O 2.19-2.30
Pu 0.7500 0.5261 0.4810  5 O 2.28-2.37
Pu 0.7500 0.9739 0.4810  5 O 2.28-2.37
Pu 0.9930 0.7500 0.9833  3 O 2.19-2.30
P 0.2500 0.7500 0.3255  4 Pu 2.66-2.68
P 0.7500 0.2500 0.6745  4 Pu 2.66-2.68
O 0.0021 0.5583 0.7352  3 Pu 2.19-2.32
O 0.0021 0.9417 0.7352  3 Pu 2.19-2.32
O 0.2500 0.2500 0.7492  4 Pu 2.30-2.37
O 0.4979 0.5583 0.7352  3 Pu 2.19-2.32
O 0.4979 0.9417 0.7352  3 Pu 2.19-2.32
O 0.5021 0.0583 0.2648  3 Pu 2.19-2.32
O 0.5021 0.4417 0.2648  3 Pu 2.19-2.32
O 0.7500 0.7500 0.2508  4 Pu 2.30-2.37
O 0.9979 0.0583 0.2648  3 Pu 2.19-2.32
O 0.9979 0.4417 0.2648  3 Pu 2.19-2.32

Values from the calculation:
- Fermi-level density of states (states/eV/f.u.) = 19.88
- DFT total energy (eV/f.u.) = -112.1
- magnetic moment (μB per cell) = 38.00

=====

3.
The following is a DFT calculation (PBE) of a relaxed Tl2CoW crystal.

Lattice parameters (Å, degrees): 5.9755 5.9755 5.9755 103.27 103.27 122.74
With the nearest neighbours (Å) after each atom.
Fractional coordinates of all 8 atoms:
Tl 0.0964 0.6250 0.9714  2 Co 2.58, 2 W 2.87
Tl 0.3750 0.3464 0.4714  2 Co 2.58, 2 W 2.87
Tl 0.6536 0.1250 0.0286  2 Co 2.58, 2 W 2.87
Tl 0.8750 0.9036 0.5286  2 Co 2.58, 2 W 2.87
Co 0.0000 0.0000 0.0000  4 Tl 2.58, 2 W 2.86
Co 0.7500 0.2500 0.5000  4 Tl 2.58, 2 W 2.86
W 0.2500 0.7500 0.5000  2 Co 2.86, 4 Tl 2.87
W 0.5000 0.5000 0.0000  2 Co 2.86, 4 Tl 2.87

Values from the calculation:
- E_form (eV/f.u.) = 5.16
- distance to the lowest polymorph of the same formula (kJ/mol of formula units) = 296
- Fermi-level density of states (states/eV/f.u.) = 6.47
- magnetic moment (μB per cell) = 3.44

=====

4.
The following is a DFT calculation (PBE) of a relaxed SmAlCuPd crystal.

Lattice parameters (Å, degrees): 4.3805 4.3805 5.3213 114.29 114.29 59.90
With the nearest neighbours (Å) after each atom.
Fractional coordinates of all 4 atoms:
Sm 0.0000 0.0000 0.0000  4 Cu 2.90-3.10, 4 Pd 2.92-3.08
Al 0.4987 0.4987 0.4958  3 Pd 2.59, 3 Cu 2.59
Cu 0.2062 0.2062 0.6184  3 Al 2.59, 3 Pd 2.77, 1 Sm 2.90
Pd 0.7922 0.7922 0.3766  3 Al 2.59, 3 Cu 2.77

Values from the calculation:
- E_form (eV/f.u.) = -2.40
- distance to the lowest polymorph of the same formula (kJ/mol of formula units) = 0
- Fermi-level density of states (states/eV/f.u.) = 2.69
- magnetic moment (μB per cell) = 0.00

=====

5.
The following is a DFT calculation (PBE) of a relaxed LaEr7Th2 crystal.

Lattice parameters (Å, degrees): 9.2990 9.2990 5.4819 90.00 90.00 125.58
With the nearest neighbours (Å) after each atom.
Fractional coordinates of all 10 atoms:
La 0.0000 0.0000 0.0000  8 Er 3.61
Er 0.0863 0.2933 0.5000  3 Er 3.14-3.42, 2 Th 3.27-3.31
Er 0.2933 0.0863 0.5000  3 Er 3.14-3.42, 2 Th 3.27-3.31
Er 0.3980 0.6020 0.0000  3 Er 3.22-3.37, 2 Th 3.41
Er 0.5000 0.5000 0.5000  8 Er 3.14-3.22
Er 0.6020 0.3980 0.0000  3 Er 3.22-3.37, 2 Th 3.41
Er 0.7067 0.9137 0.5000  3 Er 3.14-3.42, 2 Th 3.27-3.31
Er 0.9137 0.7067 0.5000  3 Er 3.14-3.42, 2 Th 3.27-3.31
Th 0.2757 0.7243 0.5000  6 Er 3.27-3.41
Th 0.7243 0.2757 0.5000  6 Er 3.27-3.41

Values from the calculation:
- E_form (eV/f.u.) = 7.24
- Fermi-level density of states (states/eV/f.u.) = 17.48
- magnetic moment (μB per cell) = 0.00

=====

6.
The following is a DFT calculation (PBE) of a relaxed FeCoGePt crystal.

Lattice parameters (Å, degrees): 4.2049 4.2049 4.2049 60.00 60.00 60.00
With the nearest neighbours (Å) after each atom.
Fractional coordinates of all 4 atoms:
Fe 0.0000 0.0000 0.0000  4 Ge 2.57, 4 Pt 2.57
Co 0.5000 0.5000 0.5000  4 Pt 2.57, 4 Ge 2.57
Ge 0.7500 0.7500 0.7500  4 Co 2.57, 4 Fe 2.57
Pt 0.2500 0.2500 0.2500  4 Co 2.57, 4 Fe 2.57

Values from the calculation:
- E_form (eV/f.u.) = -0.16
- Fermi-level density of states (states/eV/f.u.) = 3.84
- magnetic moment (μB per cell) = 3.02

=====

7.
The following is a DFT calculation (PBE) of a relaxed K9Rb2Au3 crystal.

Lattice parameters (Å, degrees): 11.3062 11.3062 15.2536 114.77 114.77 55.66
With the nearest neighbours (Å) after each atom.
Fractional coordinates of all 28 atoms:
K 0.0335 0.7899 0.9723  3 Au 3.50-3.81
K 0.1158 0.6572 0.2504  2 Au 3.47-3.49
K 0.1507 0.3011 0.4361  3 Au 3.41-3.79
K 0.1612 0.8388 0.7500  2 Au 3.69
K 0.2101 0.9665 0.5277  3 Au 3.50-3.81
K 0.3011 0.1507 0.9361  3 Au 3.41-3.79
K 0.3428 0.8842 0.2496  2 Au 3.47-3.49
K 0.4373 0.4418 0.5755  1 Au 3.36
K 0.4418 0.4373 0.0755  1 Au 3.36
K 0.5582 0.5627 0.9245  1 Au 3.36
K 0.5627 0.5582 0.4245  1 Au 3.36
K 0.6572 0.1158 0.7504  2 Au 3.47-3.49
K 0.6989 0.8493 0.0639  3 Au 3.41-3.79
K 0.7899 0.0335 0.4723  3 Au 3.50-3.81
K 0.8388 0.1612 0.2500  2 Au 3.69
K 0.8493 0.6989 0.5639  3 Au 3.41-3.79
K 0.8842 0.3428 0.7496  2 Au 3.47-3.49
K 0.9665 0.2101 0.0277  3 Au 3.50-3.81
Rb 0.2017 0.3831 0.7346  1 Au 3.74, 2 K 3.97-4.10
Rb 0.3831 0.2017 0.2346  1 Au 3.74, 2 K 3.97-4.10
Rb 0.6169 0.7983 0.7654  1 Au 3.74, 2 K 3.97-4.10
Rb 0.7983 0.6169 0.2654  1 Au 3.74, 2 K 3.97-4.10
Au 0.0000 0.5000 0.0000  6 K 3.49-3.71
Au 0.0944 0.6825 0.4785  5 K 3.36-3.69, 1 Rb 3.74
Au 0.3175 0.9056 0.0215  5 K 3.36-3.69, 1 Rb 3.74
Au 0.5000 0.0000 0.5000  6 K 3.49-3.71
Au 0.6825 0.0944 0.9785  5 K 3.36-3.69, 1 Rb 3.74
Au 0.9056 0.3175 0.5215  5 K 3.36-3.69, 1 Rb 3.74

Values from the calculation:
- E_form (eV/f.u.) = -1.52
- Fermi-level density of states (states/eV/f.u.) = 8.98
- magnetic moment (μB per cell) = 0.00

=====

8.
The following is a DFT calculation (PBE) of a relaxed TiTe2Br crystal.

Lattice parameters (Å, degrees): 9.1817 9.1817 9.1817 24.71 24.71 24.71
With the nearest neighbours (Å) after each atom.
Fractional coordinates of all 4 atoms:
Ti 0.0000 0.0000 0.0000  6 Te 2.78
Te 0.3936 0.3936 0.3936  3 Ti 2.78, 1 Br 2.84
Te 0.6064 0.6064 0.6064  3 Ti 2.78, 1 Br 2.84
Br 0.5000 0.5000 0.5000  2 Te 2.84

Values from the calculation:
- distance to the lowest polymorph of the same formula (kJ/mol of formula units) = 0
- Fermi-level density of states (states/eV/f.u.) = 2.90
- magnetic moment (μB per cell) = 0.00

=====

9.
The following is a DFT calculation (PBE) of a relaxed Pr crystal.

Lattice parameters (Å, degrees): 3.7361 3.7361 12.0156 90.00 90.00 120.00
With the nearest neighbours (Å) after each atom.
Fractional coordinates of all 4 atoms:
Pr 0.0000 0.0000 0.0000  12 Pr 3.70-3.74
Pr 0.0000 0.0000 0.5000  12 Pr 3.70-3.74
Pr 0.3333 0.6667 0.2500  12 Pr 3.70-3.74
Pr 0.6667 0.3333 0.7500  12 Pr 3.70-3.74

Values from the calculation:
- E_form (eV/f.u.) = 0.00
- distance to the lowest polymorph of the same formula (kJ/mol of formula units) = 0
- Fermi-level density of states (states/eV/f.u.) = 1.15
- magnetic moment (μB per cell) = 0.00

=====

10.
The following is a DFT calculation (PBE) of a relaxed CaTc2Pb crystal.

Lattice parameters (Å, degrees): 5.2366 5.2366 5.2366 131.05 131.05 71.73
With the nearest neighbours (Å) after each atom.
Fractional coordinates of all 4 atoms:
Ca 0.0000 0.0000 0.0000  8 Tc 3.03, 4 Pb 3.07
Tc 0.2500 0.7500 0.5000  4 Pb 3.03, 4 Ca 3.03, 4 Tc 3.07
Tc 0.7500 0.2500 0.5000  4 Pb 3.03, 4 Ca 3.03, 4 Tc 3.07
Pb 0.5000 0.5000 0.0000  8 Tc 3.03, 4 Ca 3.07

Values from the calculation:
- E_form (eV/f.u.) = 2.88
- Fermi-level density of states (states/eV/f.u.) = 3.81
- magnetic moment (μB per cell) = 3.48